1.
KZn2Pb2 | Alexandria via LeMat-Bulk | GGA-PBEsol | optimized geometry; calculated formation energy = -0.024 eV per atom
1.0
-4.702 -0.280 0.682
-0.477 -2.205 -4.191
3.281 -3.934 4.400
Pb Zn K
2 2 1
Direct
0.250 0.750 0.500
0.750 0.250 0.500
0.396 0.396 0.791
0.604 0.604 0.209
0.000 0.000 0.000

2.
K2ZnPb | Alexandria via LeMat-Bulk | GGA-PBEsol | optimized geometry; calculated formation energy = -0.013 eV per atom
1.0
-1.911 1.601 -4.112
-0.427 -5.293 -1.862
-5.083 2.261 3.243
Pb Zn K
1 1 2
Direct
0.000 0.670 0.340
0.500 0.583 0.166
0.000 0.978 0.956
0.500 0.273 0.546

3.
K2ZnPb | Alexandria via LeMat-Bulk | GGA-PBEsol | optimized geometry; calculated formation energy = 0.080 eV per atom
1.0
-3.089 -0.575 2.310
-0.676 -3.065 -2.314
5.567 -5.765 6.008
K Pb Zn
2 1 1
Direct
0.000 0.000 0.077
0.500 0.500 0.681
0.000 0.000 0.427
0.500 0.500 0.315

4.
K2Zn2Pb | Alexandria via LeMat-Bulk | GGA-PBEsol | optimized geometry; calculated formation energy = 0.361 eV per atom; excess energy over the best structure of this formula in the dataset = 263 meV/atom
1.0
4.740 0.000 0.000
0.000 4.740 0.000
-2.370 -2.370 6.756
Pb Zn K
1 2 2
Direct
0.000 0.000 0.000
0.412 0.412 0.825
0.588 0.588 0.175
0.250 0.750 0.500
0.750 0.250 0.500

5.
K3PdPt | Alexandria via LeMat-Bulk | GGA-PBEsol | optimized geometry; calculated formation energy = 0.682 eV per atom
1.0
5.661 0.000 0.000
0.000 5.661 0.000
0.000 0.000 5.661
K Pd Pt
3 1 1
Direct
0.000 0.500 0.000
0.000 0.000 0.500
0.500 0.000 0.000
0.000 0.000 0.000
0.500 0.500 0.500

6.
K2PdPt | Alexandria via LeMat-Bulk | GGA-PBEsol | optimized geometry; calculated formation energy = 0.586 eV per atom
1.0
5.108 0.000 0.000
2.554 4.424 0.000
2.554 1.475 4.171
K Pd Pt
2 1 1
Direct
0.250 0.250 0.250
0.750 0.750 0.750
0.000 0.000 0.000
0.500 0.500 0.500

7.
K2RbPd2 | Alexandria via LeMat-Bulk | GGA-PBEsol | optimized geometry; calculated formation energy = 0.317 eV per atom
1.0
5.174 0.000 0.000
0.000 5.174 0.000
-2.587 -2.587 6.210
K Rb Pd
2 1 2
Direct
0.250 0.750 0.500
0.750 0.250 0.500
0.000 0.000 0.000
0.397 0.397 0.794
0.603 0.603 0.206

8.
KRbPd2 | Alexandria via LeMat-Bulk | GGA-PBEsol | optimized geometry; calculated formation energy = 0.551 eV per atom
1.0
5.261 0.000 0.000
2.630 4.556 0.000
2.630 1.519 4.295
K Rb Pd
1 1 2
Direct
0.000 0.000 0.000
0.500 0.500 0.500
0.250 0.250 0.250
0.750 0.750 0.750

9.
K3PdRu | Alexandria via LeMat-Bulk | GGA-PBEsol | optimized geometry; calculated formation energy = 1.309 eV per atom
1.0
5.896 0.000 0.000
0.000 5.896 0.000
0.000 0.000 5.896
Ru K Pd
1 3 1
Direct
0.500 0.500 0.500
0.000 0.500 0.000
0.000 0.000 0.500
0.500 0.000 0.000
0.000 0.000 0.000

10.
KPd2S | Alexandria via LeMat-Bulk | GGA-PBEsol | optimized geometry; VASP energy = -4.82 eV/atom
1.0
5.273 0.000 0.000
0.000 5.273 0.000
-2.637 -2.637 7.302
K S Pd
2 2 4
Direct
0.000 0.000 0.000
0.250 0.750 0.500
0.500 0.500 0.000
0.750 0.250 0.500
0.625 0.375 0.750
0.125 0.375 0.750
0.625 0.875 0.250
0.625 0.375 0.250

11.
K2Sb2Pd | Alexandria via LeMat-Bulk | GGA-PBEsol | optimized geometry; VASP energy = -3.88 eV/atom
1.0
-4.169 -2.961 -2.655
4.125 -5.626 -0.201
-2.489 -2.047 6.190
Sb K Pd
4 4 2
Direct
0.000 0.353 0.853
0.000 0.853 0.647
0.000 0.647 0.147
0.000 0.147 0.353
0.500 0.169 0.669
0.500 0.669 0.831
0.500 0.831 0.331
0.500 0.331 0.169
0.000 0.000 0.000
0.000 0.500 0.500

12.
KSbPd3 | Alexandria via LeMat-Bulk | GGA-PBEsol | optimized geometry; VASP energy = -3.44 eV/atom
1.0
-3.789 -1.145 -2.729
-2.714 -0.424 3.946
-1.180 4.650 -0.312
Sb K Pd
1 1 3
Direct
0.500 0.500 0.500
0.000 0.000 0.000
0.000 0.500 0.000
0.000 0.000 0.500
0.500 0.000 0.000

What did the eighth record say?
KRbPd2 | Alexandria via LeMat-Bulk | GGA-PBEsol | optimized geometry; calculated formation energy = 0.551 eV per atom
1.0
5.261 0.000 0.000
2.630 4.556 0.000
2.630 1.519 4.295
K Rb Pd
1 1 2
Direct
0.000 0.000 0.000
0.500 0.500 0.500
0.250 0.250 0.250
0.750 0.750 0.750

Q: What is the formula in the seventh record?
A: K2RbPd2